Record 1
Density functional theory data (PBE) for a relaxed structure of In2Bi2Pd7Au.

Geometry as CIF:
```
data_In2Bi2Pd7Au
_symmetry_space_group_name_H-M 'C 1 2/m 1'
_symmetry_Int_Tables_number 12
_symmetry_space_group_name_Hall '-C 2y'
_cell_length_a 5.6064
_cell_length_b 5.5507
_cell_length_c 15.5750
_cell_angle_alpha 90.00
_cell_angle_beta 97.73
_cell_angle_gamma 90.00
loop_
_atom_site_label
_atom_site_type_symbol
_atom_site_fract_x
_atom_site_fract_y
_atom_site_fract_z
_atom_site_occupancy
In1 In 0.0966 0.0000 0.2566 1
Bi1 Bi 0.1467 0.5000 0.3847 1
Pd1 Pd 0.0000 0.0000 0.0000 1
Pd2 Pd 0.1770 0.0000 0.4397 1
Pd3 Pd 0.1992 0.2499 0.8655 1
Au1 Au 0.0000 0.5000 0.0000 1
```

## Properties
Energy of formation from the pure elements   -0.181 eV/atom

Record 2
Density functional theory data (PBE) for a relaxed structure of Sc2FeTe.

Geometry as CIF:
```
data_Sc2FeTe
_symmetry_space_group_name_H-M 'P 4/m m m'
_symmetry_Int_Tables_number 123
_symmetry_space_group_name_Hall '-P 4 2'
_cell_length_a 3.5575
_cell_length_b 3.5575
_cell_length_c 6.3222
_cell_angle_alpha 90.00
_cell_angle_beta 90.00
_cell_angle_gamma 90.00
loop_
_atom_site_label
_atom_site_type_symbol
_atom_site_fract_x
_atom_site_fract_y
_atom_site_fract_z
_atom_site_occupancy
Sc1 Sc 0.0000 0.0000 0.2298 1
Fe1 Fe 0.5000 0.5000 0.0000 1
Te1 Te 0.5000 0.5000 0.5000 1
```

## Properties
Formation energy (no corrections)   -0.4287 eV/atom

Record 3
Density functional theory data (PBE) for a relaxed structure of BiBSbI2.

Geometry as CIF:
```
data_BiBSbI2
_symmetry_space_group_name_H-M 'P 4/m m m'
_symmetry_Int_Tables_number 123
_symmetry_space_group_name_Hall '-P 4 2'
_cell_length_a 6.1831
_cell_length_b 6.1831
_cell_length_c 6.0041
_cell_angle_alpha 90.00
_cell_angle_beta 90.00
_cell_angle_gamma 90.00
loop_
_atom_site_label
_atom_site_type_symbol
_atom_site_fract_x
_atom_site_fract_y
_atom_site_fract_z
_atom_site_occupancy
Bi1 Bi 0.0000 0.0000 0.0000 1
B1 B 0.5000 0.5000 0.5000 1
Sb1 Sb 0.0000 0.0000 0.5000 1
I1 I 0.0000 0.5000 0.0000 1
```

## Properties
Energy above the most stable polymorph in this dataset   54.6 kJ/mol of atoms
Formation energy (no corrections)   1.2971 eV/atom

Record 4
Density functional theory data (PBE) for a relaxed structure of HoZn2Au6.

Geometry as CIF:
```
data_HoZn2Au6
_symmetry_space_group_name_H-M 'P 6/m m m'
_symmetry_Int_Tables_number 191
_symmetry_space_group_name_Hall '-P 6 2'
_cell_length_a 5.5801
_cell_length_b 5.5801
_cell_length_c 7.2196
_cell_angle_alpha 90.00
_cell_angle_beta 90.00
_cell_angle_gamma 120.00
loop_
_atom_site_label
_atom_site_type_symbol
_atom_site_fract_x
_atom_site_fract_y
_atom_site_fract_z
_atom_site_occupancy
Ho1 Ho 0.0000 0.0000 0.0000 1
Zn1 Zn 0.3333 0.6667 0.5000 1
Au1 Au 0.0000 0.5000 0.2027 1
```

## Properties
Energy of formation from the pure elements   -0.289 eV/atom

Number 1: M_tot 0.0 μB/f.u.. Number 2: M_tot 1.2 μB/f.u.. Number 3: M_tot 0.7 μB/f.u.. Number 4: M_tot 0.0 μB/f.u..